A plane-wave DFT calculation with PBE-GGA was carried out for a relaxed Sr2Ac3Sn3 crystal.

Summary:
energy of formation: -0.4484 eV/atom
uncorrected energy: -3.911 eV/atom
space group: Immm (71)

abc: 4.5070 5.5277 12.3321
angles: 102.95 100.53 90.00
With the nearest neighbours (Å) after each atom.
Fractional positions:
Sn 0.8675 0.8675 0.7350  2 Sr 3.34, 4 Ac 3.59
Sn 0.0000 0.5000 0.0000  8 Ac 3.51-3.57
Sn 0.1325 0.1325 0.2650  2 Sr 3.34, 4 Ac 3.59
Ac 0.5000 0.0000 0.0000  8 Sn 3.57-3.86, 4 Ac 3.85
Ac 0.6138 0.6138 0.2276  6 Sn 3.51-3.59, 2 Ac 3.85
Ac 0.3862 0.3862 0.7724  6 Sn 3.51-3.59, 2 Ac 3.85
Sr 0.2630 0.7630 0.5259  2 Sn 3.34, 4 Sr 3.62
Sr 0.7370 0.2370 0.4741  2 Sn 3.34, 4 Sr 3.62

A plane-wave DFT calculation with PBE-GGA was carried out for a relaxed SrAc6Sn6 crystal.

Summary:
energy of formation: -0.3667 eV/atom
uncorrected energy: -4.240 eV/atom
space group: P6/mmm (191)

abc: 8.0969 8.0969 9.5584
angles: 90.00 90.00 120.02
With the nearest neighbours (Å) after each atom.
Fractional positions:
Sn 0.6666 0.3334 0.0000  6 Ac 3.38
Sn 0.0000 0.0000 0.6530  1 Sn 2.93
Sn 0.3333 0.6667 0.5000  6 Ac 3.31
Sn 0.6667 0.3333 0.5000  6 Ac 3.31
Sn 0.3334 0.6666 0.0000  6 Ac 3.38
Sn 0.0000 0.0000 0.3470  1 Sn 2.93
Ac 0.0000 0.5000 0.2549  4 Sn 3.31-3.38
Ac 0.0000 0.5000 0.7451  4 Sn 3.31-3.38
Ac 0.5000 0.0000 0.2549  4 Sn 3.31-3.38
Ac 0.5000 0.5000 0.2550  4 Sn 3.31-3.38
Ac 0.5000 0.5000 0.7450  4 Sn 3.31-3.38
Ac 0.5000 0.0000 0.7451  4 Sn 3.31-3.38
Sr 0.0000 0.0000 0.0000  2 Sn 3.32

A plane-wave DFT calculation with PBE-GGA was carried out for a relaxed SrAcSn3 crystal.

Summary:
energy of formation: -0.5636 eV/atom
uncorrected energy: -4.123 eV/atom
space group: Cmcm (63)

abc: 4.5702 4.7550 15.8318
angles: 98.64 90.00 90.00
With the nearest neighbours (Å) after each atom.
Fractional positions:
Sn 0.7500 0.5287 0.0573  3 Sn 2.91-2.98
Sn 0.2500 0.6831 0.3663  2 Sn 2.94
Sn 0.2500 0.4713 0.9427  3 Sn 2.91-2.98
Sn 0.2500 0.3761 0.7522  3 Sn 2.94-2.98
Sn 0.7500 0.6239 0.2478  3 Sn 2.94-2.98
Sn 0.7500 0.3169 0.6337  2 Sn 2.94
Sr 0.7500 0.2053 0.4106  7 Sn 3.37-3.49
Sr 0.2500 0.7947 0.5894  7 Sn 3.37-3.49
Ac 0.2500 0.0763 0.1526  8 Sn 3.62
Ac 0.7500 0.9237 0.8474  8 Sn 3.62

A plane-wave DFT calculation with PBE-GGA was carried out for a relaxed SrAc5Sn5 crystal.

Summary:
energy of formation: -0.4165 eV/atom
uncorrected energy: -4.256 eV/atom
space group: C2/m (12)

abc: 6.7873 7.5690 10.7026
angles: 110.55 90.00 116.64
With the nearest neighbours (Å) after each atom.
Fractional positions:
Ac 0.6699 0.3398 0.8360  5 Sn 3.34-3.44
Ac 0.3301 0.6602 0.1640  5 Sn 3.34-3.44
Ac 0.3390 0.6780 0.6646  5 Sn 3.32-3.39
Ac 0.0000 0.0000 0.5000  4 Sn 3.31-3.41
Ac 0.6610 0.3220 0.3354  5 Sn 3.32-3.39
Sn 0.1632 0.3264 0.3372  5 Ac 3.31-3.44, 1 Sr 3.41
Sn 0.5000 0.0000 0.0000  4 Ac 3.39-3.40, 2 Sr 3.39
Sn 0.1773 0.3546 0.8314  5 Ac 3.32-3.41, 1 Sr 3.52
Sn 0.8227 0.6454 0.1686  5 Ac 3.32-3.41, 1 Sr 3.52
Sn 0.8368 0.6736 0.6628  5 Ac 3.31-3.44, 1 Sr 3.41
Sr 0.0000 0.0000 0.0000  6 Sn 3.39-3.52

A plane-wave DFT calculation with PBE-GGA was carried out for a relaxed SrAcSn crystal.

Summary:
excess energy over the best structure of this formula in the dataset: 0.14 eV/f.u.
energy of formation: -0.4580 eV/atom
uncorrected energy: -3.722 eV/atom
space group: F-43m (216)

abc: 5.6317 5.6317 5.6317
angles: 60.00 60.00 60.00
With the nearest neighbours (Å) after each atom.
Fractional positions:
Ac 0.5000 0.5000 0.5000  4 Sn 3.45
Sr 0.0000 0.0000 0.0000  4 Sn 3.45
Sn 0.2500 0.2500 0.2500  4 Sr 3.45, 4 Ac 3.45

A plane-wave DFT calculation with PBE-GGA was carried out for a relaxed Sr2AcSn crystal.

Summary:
excess energy over the best structure of this formula in the dataset: 0.00 eV/f.u.
energy of formation: -0.2995 eV/atom
uncorrected energy: -3.168 eV/atom
space group: P4/mmm (123)

abc: 5.5926 5.2494 5.2494
angles: 90.00 90.00 90.00
With the nearest neighbours (Å) after each atom.
Fractional positions:
Sr 0.0000 0.0000 0.5000  4 Sr 3.71, 4 Ac 3.84, 4 Sn 3.84
Sr 0.0000 0.5000 0.0000  4 Sr 3.71, 4 Ac 3.84, 4 Sn 3.84
Sn 0.5000 0.0000 0.0000  4 Ac 3.71, 8 Sr 3.84
Ac 0.5000 0.5000 0.5000  4 Sn 3.71, 8 Sr 3.84

A plane-wave DFT calculation with PBE-GGA was carried out for a relaxed Sr2AcSn3 crystal.

Summary:
energy of formation: -0.4443 eV/atom
uncorrected energy: -3.691 eV/atom
space group: Cmcm (63)

abc: 5.9560 9.6448 9.6448
angles: 123.05 90.00 90.00
With the nearest neighbours (Å) after each atom.
Fractional positions:
Sn 0.2500 0.4461 0.4461  2 Sn 3.14, 2 Sr 3.28, 1 Ac 3.40
Sn 0.0000 0.8431 0.1569  2 Sn 2.98
Sn 0.5000 0.1569 0.8431  2 Sn 2.98
Sn 0.5000 0.8431 0.1569  2 Sn 2.98
Sn 0.0000 0.1569 0.8431  2 Sn 2.98
Sn 0.7500 0.5539 0.5539  2 Sn 3.14, 2 Sr 3.28, 1 Ac 3.40
Sr 0.7500 0.8502 0.4828  5 Sn 3.28-3.44
Sr 0.2500 0.5172 0.1498  5 Sn 3.28-3.44
Sr 0.2500 0.1498 0.5172  5 Sn 3.28-3.44
Sr 0.7500 0.4828 0.8502  5 Sn 3.28-3.44
Ac 0.7500 0.1839 0.1839  5 Sn 3.40-3.49
Ac 0.2500 0.8161 0.8161  5 Sn 3.40-3.49

A plane-wave DFT calculation with PBE-GGA was carried out for a relaxed SrAc2Zn2Sn2 crystal.

Summary:
energy of formation: -0.3963 eV/atom
uncorrected energy: -3.318 eV/atom
space group: R-3m (166)

abc: 4.5657 4.5657 13.1195
angles: 79.98 79.98 60.00
With the nearest neighbours (Å) after each atom.
Fractional positions:
Sn 0.7258 0.7258 0.8225  3 Zn 2.67
Sn 0.2742 0.2742 0.1775  3 Zn 2.67
Ac 0.1215 0.1215 0.6356  3 Zn 3.31, 3 Sn 3.57
Ac 0.8785 0.8785 0.3644  3 Zn 3.31, 3 Sn 3.57
Zn 0.5972 0.5972 0.2085  3 Sn 2.67
Zn 0.4028 0.4028 0.7915  3 Sn 2.67
Sr 0.0000 0.0000 0.0000  6 Sn 3.49, 6 Zn 3.76

A plane-wave DFT calculation with PBE-GGA was carried out for a relaxed Ac12TbSn7 crystal.

Summary:
energy of formation: -0.2727 eV/atom
uncorrected energy: -4.370 eV/atom
space group: R-3 (148)

abc: 10.2496 10.2496 10.2496
angles: 107.51 107.51 107.51
With the nearest neighbours (Å) after each atom.
Fractional positions:
Ac 0.9223 0.3103 0.7689  3 Sn 3.27-3.30
Ac 0.0777 0.6897 0.2311  3 Sn 3.27-3.30
Ac 0.1495 0.3891 0.4761  3 Sn 3.30-3.33
Ac 0.3891 0.4761 0.1495  3 Sn 3.30-3.33
Ac 0.6109 0.5239 0.8505  3 Sn 3.30-3.33
Ac 0.2311 0.0777 0.6897  3 Sn 3.27-3.30
Ac 0.6897 0.2311 0.0777  3 Sn 3.27-3.30
Ac 0.4761 0.1495 0.3891  3 Sn 3.30-3.33
Ac 0.7689 0.9223 0.3103  3 Sn 3.27-3.30
Ac 0.5239 0.8505 0.6109  3 Sn 3.30-3.33
Ac 0.3103 0.7689 0.9223  3 Sn 3.27-3.30
Ac 0.8505 0.6109 0.5239  3 Sn 3.30-3.33
Tb 0.0000 0.0000 0.0000  6 Sn 3.16
Sn 0.9603 0.6620 0.8826  1 Tb 3.16, 5 Ac 3.27-3.32
Sn 0.8826 0.9603 0.6620  1 Tb 3.16, 5 Ac 3.27-3.32
Sn 0.5000 0.5000 0.5000  6 Ac 3.33
Sn 0.3380 0.1174 0.0397  1 Tb 3.16, 5 Ac 3.27-3.32
Sn 0.6620 0.8826 0.9603  1 Tb 3.16, 5 Ac 3.27-3.32
Sn 0.1174 0.0397 0.3380  1 Tb 3.16, 5 Ac 3.27-3.32
Sn 0.0397 0.3380 0.1174  1 Tb 3.16, 5 Ac 3.27-3.32

A plane-wave DFT calculation with PBE-GGA was carried out for a relaxed AcTbSn2 crystal.

Summary:
energy of formation: -0.5654 eV/atom
uncorrected energy: -4.751 eV/atom
space group: P4/mmm (123)

abc: 4.5434 5.1947 5.1947
angles: 90.00 90.00 90.00
With the nearest neighbours (Å) after each atom.
Fractional positions:
Sn 0.0000 0.0000 0.5000  4 Tb 3.45, 4 Ac 3.45, 4 Sn 3.67
Sn 0.0000 0.5000 0.0000  4 Tb 3.45, 4 Ac 3.45, 4 Sn 3.67
Tb 0.5000 0.5000 0.5000  8 Sn 3.45, 4 Ac 3.67
Ac 0.5000 0.0000 0.0000  8 Sn 3.45, 4 Tb 3.67

A plane-wave DFT calculation with PBE-GGA was carried out for a relaxed AcTb2Sn crystal.

Summary:
excess energy over the best structure of this formula in the dataset: 0.68 eV/f.u.
energy of formation: -0.1741 eV/atom
uncorrected energy: -4.517 eV/atom
space group: Fm-3m (225)

abc: 5.5646 5.5646 5.5646
angles: 60.00 60.00 60.00
With the nearest neighbours (Å) after each atom.
Fractional positions:
Sn 0.5000 0.5000 0.5000  8 Tb 3.41
Tb 0.2500 0.2500 0.2500  4 Sn 3.41, 4 Ac 3.41
Tb 0.7500 0.7500 0.7500  4 Ac 3.41, 4 Sn 3.41
Ac 0.0000 0.0000 0.0000  8 Tb 3.41

A plane-wave DFT calculation with PBE-GGA was carried out for a relaxed Ac4TbSn4 crystal.

Summary:
energy of formation: -0.5082 eV/atom
uncorrected energy: -4.628 eV/atom
space group: P4_2/n (86)

abc: 6.8709 9.8776 9.8776
angles: 90.00 90.00 90.00
With the nearest neighbours (Å) after each atom.
Fractional positions:
Ac 0.8590 0.5750 0.7872  4 Sn 3.29-3.56
Ac 0.3590 0.7128 0.0750  4 Sn 3.29-3.56
Ac 0.6410 0.9250 0.7128  4 Sn 3.29-3.56
Ac 0.1410 0.2128 0.5750  4 Sn 3.29-3.56
Ac 0.1410 0.7872 0.4250  4 Sn 3.29-3.56
Ac 0.8590 0.4250 0.2128  4 Sn 3.29-3.56
Ac 0.3590 0.2872 0.9250  4 Sn 3.29-3.56
Ac 0.6410 0.0750 0.2872  4 Sn 3.29-3.56
Sn 0.8486 0.7409 0.1074  1 Tb 2.96, 1 Sn 3.13, 1 Ac 3.29
Sn 0.3486 0.3926 0.2409  1 Tb 2.96, 1 Sn 3.13, 1 Ac 3.29
Sn 0.6514 0.7591 0.3926  1 Tb 2.96, 1 Sn 3.13, 1 Ac 3.29
Sn 0.1514 0.1074 0.2591  1 Tb 2.96, 1 Sn 3.13, 1 Ac 3.29
Sn 0.1514 0.8926 0.7409  1 Tb 2.96, 1 Sn 3.13, 1 Ac 3.29
Sn 0.6514 0.2409 0.6074  1 Tb 2.96, 1 Sn 3.13, 1 Ac 3.29
Sn 0.3486 0.6074 0.7591  1 Tb 2.96, 1 Sn 3.13, 1 Ac 3.29
Sn 0.8486 0.2591 0.8926  1 Tb 2.96, 1 Sn 3.13, 1 Ac 3.29
Tb 0.5000 0.5000 0.5000  4 Sn 2.96
Tb 0.0000 0.0000 0.0000  4 Sn 2.96

Going through the records in order, we get density of states at the Fermi level values of 6.51, 16.99, 4.47, 11.01, 2.31, 2.90, 5.88, 5.03, 27.74, 3.83, 6.15, 15.93 states/eV per cell.